VASP calculation (GGA-PBEsol) on a geometry-optimized TaSi2Se structure.

Properties
DOS(E_F) ... 2.09 states/eV/f.u.
Space-group type ... No. 38
Spin magnetization ... 0.00 μB/cell
Energy ... -28.1 eV/cell

a b c (Å): 3.1409 4.3029 5.0596
angles (deg): 90.00 108.08 90.00
Last column: nearest neighbours and their distance in Å.
Fractional coordinates of all 4 atoms:
Se: 0.6631 0.5000 0.3263  1 Si 2.41, 2 Ta 2.65
Ta: 0.8242 0.0000 0.6485  7 Si 2.62-2.80, 2 Se 2.65
Si: 0.0963 0.0000 0.1925  3 Ta 2.62-2.70, 4 Se 2.74
Si: 0.4125 0.5000 0.8250  1 Se 2.41

=====

VASP calculation (GGA-PBEsol) on a geometry-optimized Ba2YSi structure.

Properties
DOS(E_F) ... 3.91 states/eV/f.u.
Space-group type ... No. 38
Spin magnetization ... 0.01 μB/cell
Energy ... -17.3 eV/cell

a b c (Å): 4.5810 5.0301 7.1065
angles (deg): 110.73 90.00 90.00
Last column: nearest neighbours and their distance in Å.
Fractional coordinates of all 4 atoms:
Y: 0.5000 0.5764 0.1527  2 Si 2.78
Ba: 0.0000 0.9640 0.9280  3 Si 3.59-3.96, 4 Y 3.72
Ba: 0.5000 0.2650 0.5300  4 Si 3.53, 2 Y 3.55
Si: 0.0000 0.6943 0.3885  2 Y 2.78

=====

VASP calculation (GGA-PBEsol) on a geometry-optimized Mn2TlIn structure.

Properties
DOS(E_F) ... 3.36 states/eV/f.u.
Space-group type ... No. 47
Energy above the most stable polymorph in this dataset ... 0.000 kcal/mol of atoms
Energy of formation from the pure elements ... 0.45 eV per atom
Spin magnetization ... 6.45 μB/cell
Energy ... -23.3 eV/cell

a b c (Å): 2.9957 3.8769 5.9672
angles (deg): 90.00 89.98 90.00
Last column: nearest neighbours and their distance in Å.
Fractional coordinates of all 4 atoms:
Tl: 0.5000 0.5000 0.5000  8 Mn 2.90, 2 In 2.98, 2 Tl 3.00
Mn: 0.9999 0.0000 0.2404  4 In 2.84, 4 Mn 2.87-3.10, 4 Tl 2.90
Mn: 0.0001 0.0000 0.7596  4 In 2.84, 4 Mn 2.87-3.10, 4 Tl 2.90
In: 0.5000 0.5000 0.0000  8 Mn 2.84, 2 Tl 2.98, 2 In 3.00

=====

VASP calculation (GGA-PBEsol) on a geometry-optimized LaTl2Cd structure.

Properties
DOS(E_F) ... 2.31 states/eV/f.u.
Space-group type ... No. 119
Energy of formation from the pure elements ... -0.29 eV per atom
Spin magnetization ... 0.00 μB/cell
Energy ... -13.0 eV/cell

a b c (Å): 4.7598 4.7598 5.8029
angles (deg): 114.21 114.21 90.00
Last column: nearest neighbours and their distance in Å.
Fractional coordinates of all 4 atoms:
Tl: 0.0000 0.0000 0.0000  4 La 3.35, 4 Tl 3.35, 4 Cd 3.37
Tl: 0.7500 0.2500 0.5000  4 Cd 3.35, 4 Tl 3.35, 4 La 3.37
Cd: 0.5000 0.5000 0.0000  8 Tl 3.35-3.37, 4 La 3.35
La: 0.2500 0.7500 0.5000  4 Cd 3.35, 8 Tl 3.35-3.37